Compound: La3SmTl3
Source: Alexandria via LeMat-Bulk
Functional: PBE
Structure: relaxed

Geometry as POSCAR:
```
La3SmTl3
1.0
6.9337 0.6474 0.2659
-2.5094 6.4960 0.2659
-0.4601 -0.7429 9.9991
Tl La Sm
6 6 2
Direct
0.0342 0.0342 0.7697
0.9658 0.9658 0.2303
0.0515 0.4798 0.2634
0.4798 0.0515 0.2634
0.9485 0.5202 0.7366
0.5202 0.9485 0.7366
0.8227 0.1773 0.5000
0.5841 0.5841 0.3157
0.2373 0.7627 0.0000
0.4159 0.4159 0.6843
0.7627 0.2373 0.0000
0.1773 0.8227 0.5000
0.7204 0.7204 0.9547
0.2796 0.2796 0.0453
```

Results
Its symmetry is C2/m. The calculated total energy is -56.50 eV for the cell shown. As for the spin magnetization: 0.01 μB per cell. Its energy above the lowest structure with this stoichiometry is 79 meV/atom.

Compound: La7Sm3Tl
Source: Alexandria via LeMat-Bulk
Functional: PBE
Structure: relaxed

Geometry as POSCAR:
```
La7Sm3Tl
1.0
-0.2660 8.6857 -1.1743
-1.3362 -0.9897 -7.0176
-5.4666 0.4655 4.6810
La Sm Tl
7 3 1
Direct
0.1196 0.1704 0.8296
0.1196 0.1704 0.3408
0.1113 0.6667 0.3333
0.4484 0.8311 0.1689
0.4484 0.8311 0.6622
0.1196 0.6592 0.8296
0.4484 0.3378 0.1689
0.7801 0.9981 0.4990
0.7801 0.5010 0.0019
0.7801 0.5010 0.4990
0.4595 0.3333 0.6667
```

Results
Its symmetry is P3m1. The calculated total energy is -50.00 eV for the cell shown. As for the spin magnetization: 0.00 μB per cell.

Compound: LaSm5Tl6
Source: Alexandria via LeMat-Bulk
Functional: PBE
Structure: relaxed

Geometry as POSCAR:
```
LaSm5Tl6
1.0
5.2332 -0.0314 1.7440
0.0415 7.6922 0.0138
-0.0037 -0.0157 8.7347
Tl Sm La
6 5 1
Direct
0.8306 0.7453 0.3389
0.1694 0.2547 0.6611
0.1694 0.7453 0.6611
0.5000 0.2534 0.0000
0.8306 0.2547 0.3389
0.5000 0.7466 0.0000
0.3362 0.5000 0.3277
0.6673 0.0000 0.6653
0.0000 0.5000 0.0000
0.6638 0.5000 0.6723
0.3327 0.0000 0.3347
0.0000 0.0000 0.0000
```

Results
Its symmetry is Cmmm. The calculated total energy is -47.34 eV for the cell shown. As for the spin magnetization: 0.00 μB per cell.

Compound: La6Sm3Tl
Source: Alexandria via LeMat-Bulk
Functional: PBE
Structure: relaxed

Geometry as POSCAR:
```
La6Sm3Tl
1.0
-1.6692 1.6019 -2.8825
-9.0263 -8.4507 0.5306
-6.0786 10.8061 9.5254
Sm La Tl
6 12 2
Direct
0.7500 0.9360 0.2248
0.2500 0.4135 0.3125
0.7500 0.8886 0.4320
0.7500 0.5865 0.6875
0.2500 0.0640 0.7752
0.2500 0.1114 0.5680
0.2500 0.8195 0.6197
0.2500 0.1758 0.1704
0.2500 0.6817 0.2583
0.7500 0.3183 0.7417
0.7500 0.1012 0.9687
0.7500 0.1805 0.3803
0.7500 0.6127 0.4611
0.2500 0.3873 0.5389
0.7500 0.8242 0.8296
0.2500 0.8988 0.0313
0.2500 0.5774 0.8962
0.7500 0.4226 0.1038
0.7500 0.6897 0.0764
0.2500 0.3103 0.9236
```

Results
Its symmetry is P2_1/m. The calculated total energy is -92.41 eV for the cell shown. As for the spin magnetization: 0.00 μB per cell.

Compound: LaSm2Tl
Source: Alexandria via LeMat-Bulk
Functional: PBE
Structure: relaxed

Geometry as POSCAR:
```
LaSm2Tl
1.0
5.5793 0.0000 0.0000
2.7896 4.8318 0.0000
2.7896 1.6106 4.5555
Sm Tl La
2 1 1
Direct
0.2500 0.2500 0.2500
0.7500 0.7500 0.7500
0.5000 0.5000 0.5000
0.0000 0.0000 0.0000
```

Results
Its symmetry is Fm-3m. The calculated total energy is -16.89 eV for the cell shown. As for the spin magnetization: 0.78 μB per cell. Its energy above the lowest structure with this stoichiometry is 165 meV/atom.

Compound: LaSm4Tl2
Source: Alexandria via LeMat-Bulk
Functional: PBE
Structure: relaxed

Geometry as POSCAR:
```
LaSm4Tl2
1.0
-8.2454 -6.5821 3.5730
3.7656 -5.5880 -1.6041
0.9253 2.1762 6.1441
La Tl Sm
2 4 8
Direct
0.5000 0.5000 0.0000
0.0000 0.0000 0.0000
0.0000 0.6893 0.4404
0.5000 0.8107 0.5596
0.5000 0.1893 0.4404
0.0000 0.3107 0.5596
0.8295 0.5003 0.9999
0.6705 0.0003 0.9999
0.2777 0.5000 0.5002
0.7777 0.0000 0.4998
0.3295 0.9997 0.0001
0.1705 0.4997 0.0001
0.2223 0.0000 0.5002
0.7223 0.5000 0.4998
```

Results
Its symmetry is C2/m. The calculated total energy is -58.54 eV for the cell shown. As for the spin magnetization: 0.00 μB per cell. Its energy above the lowest structure with this stoichiometry is 30 meV/atom.

Copy entry 3 word for word.
Compound: LaSm5Tl6
Source: Alexandria via LeMat-Bulk
Functional: PBE
Structure: relaxed

Geometry as POSCAR:
```
LaSm5Tl6
1.0
5.2332 -0.0314 1.7440
0.0415 7.6922 0.0138
-0.0037 -0.0157 8.7347
Tl Sm La
6 5 1
Direct
0.8306 0.7453 0.3389
0.1694 0.2547 0.6611
0.1694 0.7453 0.6611
0.5000 0.2534 0.0000
0.8306 0.2547 0.3389
0.5000 0.7466 0.0000
0.3362 0.5000 0.3277
0.6673 0.0000 0.6653
0.0000 0.5000 0.0000
0.6638 0.5000 0.6723
0.3327 0.0000 0.3347
0.0000 0.0000 0.0000
```

Results
Its symmetry is Cmmm. The calculated total energy is -47.34 eV for the cell shown. As for the spin magnetization: 0.00 μB per cell.

Which of these has the highest calculated total energy?
LaSm2Tl

Which of these has the highest spin magnetization?
LaSm2Tl